[1]
Computed, not measured: crystalline Na2Ca2I2Br5 at its relaxed geometry at the PBE level of DFT.

Summary:
Its formation energy (no corrections) is -16.5 eV per formula unit. For the calculated total energy, the calculation gives -69.21 eV/cell. The calculation puts the spin magnetization at 0.09 μB per atom. Its density of states at the Fermi level is 7.620 states/eV per cell. Its density is 3.0 g cm⁻³.

a = 5.741 Å, b = 5.741 Å, c = 26.490 Å
α = 90.00°, β = 90.00°, γ = 90.00°
Space group I4/mmm (No. 139)
Asymmetric unit:
Na 0.000 0.000 0.151
Ca 0.000 0.000 0.395
I 0.000 0.000 0.267
Br 0.000 0.000 0.500
Br 0.000 0.500 0.119

[2]
Computed, not measured: crystalline Ac2Sn3BiPd6 at its relaxed geometry at the PBE level of DFT.

Summary:
For the calculated total energy, the calculation gives -60.87 eV/cell. For the calculated formation energy, the calculation gives -5.609 eV/f.u. The calculation puts the spin magnetization at 0.00 μB per atom. Its density of states at the Fermi level is 8.725 states/eV per cell. Its density is 8.6 g cm⁻³.

a = 4.365 Å, b = 4.365 Å, c = 16.797 Å
α = 90.00°, β = 90.00°, γ = 90.00°
Space group P4/mmm (No. 123)
Asymmetric unit:
Ac 0.000 0.000 0.201
Sn 0.500 0.500 0.000
Sn 0.500 0.500 0.309
Bi 0.000 0.000 0.500
Pd 0.000 0.500 0.397
Pd 0.500 0.500 0.152

[3]
Computed, not measured: crystalline PC at its relaxed geometry at the PBE level of DFT.

Summary:
As for the offset from the most stable computed form: 128 meV per atom. For the calculated total energy, the calculation gives -82.52 eV/cell. For the calculated formation energy, the calculation gives 0.880 eV/f.u. The calculation puts the spin magnetization at 0.00 μB per atom. Its density of states at the Fermi level is 0.000 states/eV per cell. Its density is 2.5 g cm⁻³.

a = 2.9083 Å, b = 2.9083 Å, c = 22.9486 Å
α = 90.00°, β = 90.00°, γ = 120.00°
Space group R3m (No. 160, hexagonal axes)
Asymmetric unit:
P 0.0000 0.0000 0.0000
P 0.0000 0.0000 0.2135
C 0.0000 0.0000 0.2960
C 0.0000 0.0000 0.8580

[4]
Computed, not measured: crystalline TcTeCl2 at its relaxed geometry at the PBE level of DFT.

Summary:
Its formation energy (no corrections) is 2.1 eV per formula unit. As for the offset from the most stable computed form: 785 meV per atom. For the calculated total energy, the calculation gives -15.14 eV/cell. The calculation puts the spin magnetization at 0.96 μB per atom. Its density of states at the Fermi level is 2.275 states/eV per cell. Its density is 5.6 g cm⁻³.

a = 3.214 Å, b = 4.719 Å, c = 5.764 Å
α = 90.00°, β = 90.00°, γ = 90.00°
Space group Pmmm (No. 47)
Asymmetric unit:
Tc 0.000 0.000 0.000
Te 0.500 0.000 0.500
Cl 0.000 0.500 0.500
Cl 0.500 0.500 0.000

[5]
Computed, not measured: crystalline In2NiCl at its relaxed geometry at the PBE level of DFT.

Summary:
Its formation energy (no corrections) is -1.0 eV per formula unit. As for the offset from the most stable computed form: 0 meV per atom. For the calculated total energy, the calculation gives -14.13 eV/cell. The calculation puts the spin magnetization at 0.00 μB per atom. Its density of states at the Fermi level is 1.509 states/eV per cell. Its density is 6.5 g cm⁻³.

a = 3.248 Å, b = 3.271 Å, c = 7.744 Å
α = 90.00°, β = 90.00°, γ = 90.00°
Space group Pmmm (No. 47)
Asymmetric unit:
In 0.000 0.000 0.197
Ni 0.500 0.500 0.000
Cl 0.000 0.500 0.500

Please write out number 1 again, unchanged.
Computed, not measured: crystalline Na2Ca2I2Br5 at its relaxed geometry at the PBE level of DFT.

Summary:
Its formation energy (no corrections) is -16.5 eV per formula unit. For the calculated total energy, the calculation gives -69.21 eV/cell. The calculation puts the spin magnetization at 0.09 μB per atom. Its density of states at the Fermi level is 7.620 states/eV per cell. Its density is 3.0 g cm⁻³.

a = 5.741 Å, b = 5.741 Å, c = 26.490 Å
α = 90.00°, β = 90.00°, γ = 90.00°
Space group I4/mmm (No. 139)
Asymmetric unit:
Na 0.000 0.000 0.151
Ca 0.000 0.000 0.395
I 0.000 0.000 0.267
Br 0.000 0.000 0.500
Br 0.000 0.500 0.119

Among the records above, which one has the lowest density?
PC